Below is a relaxed DyEr3Pu2Se6 crystal, with properties calculated at the PBE level.

Magnetic moment = 11.81 Bohr magnetons per cell
Fermi-level density of states = 17.90 states/eV/f.u.
Uncorrected energy = -0.5390 Ry/atom

Cell: 4.058 8.192 9.128 Å, 103.33 102.84 90.00°
Site moments in Bohr magnetons follow the coordinates.
Atoms (fractional coordinates):
Se 0.665 0.588 0.330  -0.04
Se 0.667 0.077 0.334  -0.02
Se 0.333 0.923 0.666  -0.02
Se 0.335 0.412 0.670  -0.04
Se 0.997 0.251 0.994  -0.01
Se 0.003 0.749 0.006  -0.01
Er 0.832 0.167 0.665  0.01
Er 0.500 0.500 0.000  0.03
Er 0.168 0.833 0.335  0.01
Dy 0.500 0.000 0.000  0.06
Pu 0.834 0.667 0.668  5.49
Pu 0.166 0.333 0.332  5.49